Entry 1:
## BaCa2Cu (PBE)

Data for a relaxed BaCa2Cu crystal.

a = 7.1644 Å, b = 7.1644 Å, c = 7.1644 Å
α = 148.16°, β = 130.61°, γ = 59.97°
Positions (direct):
Ca: 0.9987 0.9987 0.0000
Ca: 0.6828 0.1828 0.5000
Ba: 0.3087 0.8087 0.5000
Cu: 0.5098 0.5098 0.0000

Energy above the most stable polymorph in this dataset   110.3 meV/atom
Symmetry   Imm2
Theoretical density   3.20 g/cm3
Raw total energy   -2.41 eV per atom
Total magnetic moment   0.0 μB per cell
Formation energy   91 meV per atom

***

Entry 2:
## BaCa2Cu (PBE)

Data for a relaxed BaCa2Cu crystal.

a = 4.2376 Å, b = 4.2376 Å, c = 10.4367 Å
α = 78.29°, β = 78.29°, γ = 60.00°
Positions (direct):
Ba: 0.5002 0.5002 0.4994
Ca: 0.0525 0.0525 0.8424
Ca: 0.2807 0.2807 0.1579
Cu: 0.6665 0.6665 0.0004

Energy above the most stable polymorph in this dataset   43.2 meV/atom
Symmetry   R3m
Theoretical density   2.96 g/cm3
Raw total energy   -2.48 eV per atom
Total magnetic moment   0.0 μB per cell
Formation energy   24 meV per atom

***

Entry 3:
## Ba2CaCu (PBE)

Data for a relaxed Ba2CaCu crystal.

a = 7.3126 Å, b = 7.3126 Å, c = 6.2440 Å
α = 64.68°, β = 64.68°, γ = 33.10°
Positions (direct):
Ca: 0.7500 0.7500 0.7500
Ba: 0.9408 0.9408 0.0590
Ba: 0.5592 0.5592 0.4410
Cu: 0.2500 0.2500 0.2500

Energy above the most stable polymorph in this dataset   98.0 meV/atom
Symmetry   Immm
Theoretical density   3.85 g/cm3
Raw total energy   -2.35 eV per atom
Total magnetic moment   0.0 μB per cell
Formation energy   138 meV per atom